# Zn5Si4 | Alexandria via LeMat-Bulk | GGA-PBE | optimized geometry
data_Zn5Si4
_chemical_formula_sum 'Zn10 Si8'
_cell_length_a 8.2914
_cell_length_b 8.2914
_cell_length_c 4.9305
_cell_angle_alpha 90.00
_cell_angle_beta 90.00
_cell_angle_gamma 120.00
_space_group_name_H-M_alt 'P 63/m c m'
_space_group_IT_number 193
_space_group_name_Hall '-P 6c 2'
loop_
_atom_site_label
_atom_site_fract_x
_atom_site_fract_y
_atom_site_fract_z
_atom_site_occupancy
Zn1 0.0000 0.2774 0.2500 1
Zn2 0.3333 0.6667 0.0000 1
Si1 0.0000 0.0000 0.0000 1
Si2 0.0000 0.4188 0.7500 1
# Total energy: -2.798 eV per atom
# Uncorrected formation energy: 0.32 eV per atom
# ΔE to the lowest computed polymorph: 0.015 eV per atom